(1)
Density functional theory data (PBE) for a relaxed structure of Pm3Cd4Pd4.

a = 8.7671 Å, b = 8.7671 Å, c = 8.7671 Å
α = 152.68°, β = 125.55°, γ = 61.97°
Last column: nearest neighbours and their distance in Å.
Fractional positions:
Pm1 0.0000 0.0000 0.0000  6 Pd 3.27-3.48, 8 Cd 3.64
Pm2 0.3800 0.8800 0.5000  6 Pd 3.04-3.12, 4 Cd 3.30
Pm3 0.6200 0.1200 0.5000  6 Pd 3.04-3.12, 4 Cd 3.30
Cd1 0.0230 0.3299 0.6931  4 Pd 2.74-2.87
Cd2 0.3633 0.6701 0.6931  4 Pd 2.74-2.87
Cd3 0.6367 0.3299 0.3069  4 Pd 2.74-2.87
Cd4 0.9770 0.6701 0.3069  4 Pd 2.74-2.87
Pd1 0.2315 0.2315 0.0000  6 Cd 2.75-2.87, 2 Pm 3.04
Pd2 0.3156 0.5000 0.8156  2 Cd 2.74, 1 Pd 2.96
Pd3 0.6844 0.5000 0.1844  2 Cd 2.74, 1 Pd 2.96
Pd4 0.7685 0.7685 0.0000  6 Cd 2.75-2.87, 2 Pm 3.04

Calculated values
**E_form**: -623 kJ/mol of formula units
**Symmetry**: Immm

***

(2)
Density functional theory data (PBE) for a relaxed structure of Pm4Cd5Pd2.

a = 7.7757 Å, b = 3.7339 Å, c = 9.7928 Å
α = 90.00°, β = 93.83°, γ = 90.00°
Last column: nearest neighbours and their distance in Å.
Fractional positions:
Pm1 0.1693 0.0000 0.3587  2 Pd 2.93
Pm2 0.2362 0.0000 0.9444  4 Pd 3.02-3.07, 2 Cd 3.37
Pm3 0.7638 0.0000 0.0556  4 Pd 3.02-3.07, 2 Cd 3.37
Pm4 0.8307 0.0000 0.6413  2 Pd 2.93
Cd1 0.1872 0.5000 0.6525  2 Cd 2.94-3.15, 1 Pd 2.95
Cd2 0.4486 0.5000 0.1872  1 Pd 2.97, 2 Cd 3.06-3.15
Cd3 0.5000 0.5000 0.5000  4 Cd 2.94-3.06
Cd4 0.5514 0.5000 0.8128  1 Pd 2.97, 2 Cd 3.06-3.15
Cd5 0.8128 0.5000 0.3475  2 Cd 2.94-3.15, 1 Pd 2.95
Pd1 0.0674 0.5000 0.1376  1 Pd 2.83, 6 Pm 2.93-3.07, 2 Cd 2.95-2.97
Pd2 0.9326 0.5000 0.8624  1 Pd 2.83, 6 Pm 2.93-3.07, 2 Cd 2.95-2.97

Calculated values
**E_form**: -509 kJ/mol of formula units
**Symmetry**: P2/m

***

(3)
Density functional theory data (PBE) for a relaxed structure of Pm3Cd2Pd3.

a = 8.6105 Å, b = 8.6105 Å, c = 5.8758 Å
α = 90.00°, β = 90.00°, γ = 120.00°
Last column: nearest neighbours and their distance in Å.
Fractional positions:
Pm1 0.0000 0.2737 0.2500  5 Pd 2.91-3.10
Pm2 0.0000 0.7263 0.7500  5 Pd 2.91-3.10
Pm3 0.2737 0.0000 0.2500  5 Pd 2.91-3.10
Pm4 0.2737 0.2737 0.7500  5 Pd 2.91-3.10
Pm5 0.7263 0.0000 0.7500  5 Pd 2.91-3.10
Pm6 0.7263 0.7263 0.2500  5 Pd 2.91-3.10
Cd1 0.3333 0.6667 0.0000  2 Cd 2.94, 6 Pd 3.04
Cd2 0.3333 0.6667 0.5000  2 Cd 2.94, 6 Pd 3.04
Cd3 0.6667 0.3333 0.0000  2 Cd 2.94, 6 Pd 3.04
Cd4 0.6667 0.3333 0.5000  2 Cd 2.94, 6 Pd 3.04
Pd1 0.0000 0.3885 0.7500  5 Pm 2.91-3.10, 4 Cd 3.04
Pd2 0.0000 0.6115 0.2500  5 Pm 2.91-3.10, 4 Cd 3.04
Pd3 0.3885 0.0000 0.7500  5 Pm 2.91-3.10, 4 Cd 3.04
Pd4 0.3885 0.3885 0.2500  5 Pm 2.91-3.10, 4 Cd 3.04
Pd5 0.6115 0.0000 0.2500  5 Pm 2.91-3.10, 4 Cd 3.04
Pd6 0.6115 0.6115 0.7500  5 Pm 2.91-3.10, 4 Cd 3.04

Calculated values
**E_form**: -491 kJ/mol of formula units
**Symmetry**: P6_3/mcm

***

(4)
Density functional theory data (PBE) for a relaxed structure of Pm2CdPd2.

a = 7.7536 Å, b = 7.7536 Å, c = 3.9256 Å
α = 90.00°, β = 90.00°, γ = 90.00°
Last column: nearest neighbours and their distance in Å.
Fractional positions:
Pm1 0.1739 0.3261 0.0000  6 Pd 2.93-3.07
Pm2 0.3261 0.8261 0.0000  6 Pd 2.93-3.07
Pm3 0.6739 0.1739 0.0000  6 Pd 2.93-3.07
Pm4 0.8261 0.6739 0.0000  6 Pd 2.93-3.07
Cd1 0.0000 0.0000 0.5000  4 Pd 3.05
Cd2 0.5000 0.5000 0.5000  4 Pd 3.05
Pd1 0.1276 0.6276 0.5000  1 Pd 2.80, 6 Pm 2.93-3.07, 2 Cd 3.05
Pd2 0.3724 0.1276 0.5000  1 Pd 2.80, 6 Pm 2.93-3.07, 2 Cd 3.05
Pd3 0.6276 0.8724 0.5000  1 Pd 2.80, 6 Pm 2.93-3.07, 2 Cd 3.05
Pd4 0.8724 0.3724 0.5000  1 Pd 2.80, 6 Pm 2.93-3.07, 2 Cd 3.05

Calculated values
**E_form**: -361 kJ/mol of formula units
**Symmetry**: P4/mbm

***

(5)
Density functional theory data (PBE) for a relaxed structure of Pm2Cd5Pd.

a = 10.0634 Å, b = 10.0634 Å, c = 10.1925 Å
α = 90.00°, β = 90.00°, γ = 157.29°
Last column: nearest neighbours and their distance in Å.
Fractional positions:
Pm1 0.0000 0.0000 0.0000  4 Cd 3.24, 4 Pd 3.38
Pm2 0.0000 0.0000 0.5000  4 Cd 3.24, 4 Pd 3.38
Pm3 0.1643 0.8357 0.7500  2 Pd 2.98, 4 Cd 3.18
Pm4 0.8357 0.1643 0.2500  2 Pd 2.98, 4 Cd 3.18
Cd1 0.2174 0.7826 0.1067  6 Cd 2.91-3.21
Cd2 0.2174 0.7826 0.3933  6 Cd 2.91-3.21
Cd3 0.3703 0.6297 0.0152  4 Cd 2.82-3.16, 1 Pd 2.85
Cd4 0.3703 0.6297 0.4848  4 Cd 2.82-3.16, 1 Pd 2.85
Cd5 0.4117 0.5883 0.7500  1 Pd 2.76, 2 Cd 2.82
Cd6 0.5883 0.4117 0.2500  1 Pd 2.76, 2 Cd 2.82
Cd7 0.6297 0.3703 0.5152  4 Cd 2.82-3.16, 1 Pd 2.85
Cd8 0.6297 0.3703 0.9848  4 Cd 2.82-3.16, 1 Pd 2.85
Cd9 0.7826 0.2174 0.6067  6 Cd 2.91-3.21
Cd10 0.7826 0.2174 0.8933  6 Cd 2.91-3.21
Pd1 0.4484 0.5516 0.2500  3 Cd 2.76-2.85, 2 Pm 2.98
Pd2 0.5516 0.4484 0.7500  3 Cd 2.76-2.85, 2 Pm 2.98

Calculated values
**E_form**: -257 kJ/mol of formula units
**Symmetry**: Cmcm

***

(6)
Density functional theory data (PBE) for a relaxed structure of Pm2Cd3Pd4.

a = 9.1673 Å, b = 9.1673 Å, c = 7.5266 Å
α = 90.00°, β = 90.00°, γ = 143.07°
Last column: nearest neighbours and their distance in Å.
Fractional positions:
Pm1 0.1056 0.8944 0.9172  5 Pd 2.95-3.09
Pm2 0.3944 0.6056 0.4172  5 Pd 2.95-3.09
Pm3 0.6056 0.3944 0.5828  5 Pd 2.95-3.09
Pm4 0.8944 0.1056 0.0828  5 Pd 2.95-3.09
Cd1 0.0000 0.0000 0.5000  6 Pd 2.70-2.81
Cd2 0.0146 0.4854 0.7500  5 Pd 2.81-2.86, 2 Cd 2.90
Cd3 0.4854 0.0146 0.2500  5 Pd 2.81-2.86, 2 Cd 2.90
Cd4 0.5000 0.5000 0.0000  6 Pd 2.70-2.81
Cd5 0.5146 0.9854 0.7500  5 Pd 2.81-2.86, 2 Cd 2.90
Cd6 0.9854 0.5146 0.2500  5 Pd 2.81-2.86, 2 Cd 2.90
Pd1 0.1613 0.8387 0.5285  5 Cd 2.81-2.86, 2 Pd 2.97, 3 Pm 3.08-3.09
Pd2 0.1760 0.3240 0.7500  3 Cd 2.70-2.81, 4 Pd 2.90-2.97, 2 Pm 2.95
Pd3 0.3240 0.1760 0.2500  3 Cd 2.70-2.81, 4 Pd 2.90-2.97, 2 Pm 2.95
Pd4 0.3387 0.6613 0.0285  5 Cd 2.81-2.86, 2 Pd 2.97, 3 Pm 3.08-3.09
Pd5 0.6613 0.3387 0.9715  5 Cd 2.81-2.86, 2 Pd 2.97, 3 Pm 3.08-3.09
Pd6 0.6760 0.8240 0.7500  3 Cd 2.70-2.81, 4 Pd 2.90-2.97, 2 Pm 2.95
Pd7 0.8240 0.6760 0.2500  3 Cd 2.70-2.81, 4 Pd 2.90-2.97, 2 Pm 2.95
Pd8 0.8387 0.1613 0.4715  5 Cd 2.81-2.86, 2 Pd 2.97, 3 Pm 3.08-3.09

Calculated values
**E_form**: -510 kJ/mol of formula units
**Symmetry**: Cmce

***

(7)
Density functional theory data (PBE) for a relaxed structure of PmCd2Pd5.

a = 7.5995 Å, b = 7.5995 Å, c = 7.5995 Å
α = 122.35°, β = 122.35°, γ = 85.97°
Last column: nearest neighbours and their distance in Å.
Fractional positions:
Pm1 0.2500 0.2500 0.0000  10 Pd 2.78-2.98
Pm2 0.7500 0.7500 0.0000  10 Pd 2.78-2.98
Cd1 0.1549 0.6549 0.8097  8 Pd 2.77-2.84
Cd2 0.3451 0.1549 0.5000  8 Pd 2.77-2.84
Cd3 0.6549 0.8451 0.5000  8 Pd 2.77-2.84
Cd4 0.8451 0.3451 0.1903  8 Pd 2.77-2.84
Pd1 0.0000 0.0000 0.0000  4 Cd 2.77, 2 Pm 2.78
Pd2 0.0250 0.8059 0.5000  4 Pd 2.79-2.95, 3 Cd 2.81-2.84, 2 Pm 2.98
Pd3 0.1941 0.6941 0.2190  4 Pd 2.79-2.95, 3 Cd 2.81-2.84, 2 Pm 2.98
Pd4 0.3059 0.5250 0.5000  4 Pd 2.79-2.95, 3 Cd 2.81-2.84, 2 Pm 2.98
Pd5 0.4750 0.9750 0.7810  4 Pd 2.79-2.95, 3 Cd 2.81-2.84, 2 Pm 2.98
Pd6 0.5000 0.5000 0.0000  4 Cd 2.77, 2 Pm 2.78
Pd7 0.5250 0.0250 0.2190  4 Pd 2.79-2.95, 3 Cd 2.81-2.84, 2 Pm 2.98
Pd8 0.6941 0.4750 0.5000  4 Pd 2.79-2.95, 3 Cd 2.81-2.84, 2 Pm 2.98
Pd9 0.8059 0.3059 0.7810  4 Pd 2.79-2.95, 3 Cd 2.81-2.84, 2 Pm 2.98
Pd10 0.9750 0.1941 0.5000  4 Pd 2.79-2.95, 3 Cd 2.81-2.84, 2 Pm 2.98

Calculated values
**ΔE to the lowest computed polymorph**: 102 meV per atom
**E_form**: -359 kJ/mol of formula units
**Symmetry**: I4/mcm

***

(8)
Density functional theory data (PBE) for a relaxed structure of Pm11Cd9Pd4.

a = 13.4310 Å, b = 13.4310 Å, c = 3.7662 Å
α = 90.00°, β = 90.00°, γ = 112.72°
Last column: nearest neighbours and their distance in Å.
Fractional positions:
Pm1 0.0000 0.0000 0.0000  8 Cd 3.27, 2 Pm 3.64
Pm2 0.0712 0.4137 0.0000  2 Pd 2.93, 2 Cd 3.27
Pm3 0.1629 0.8371 0.0000  8 Cd 3.31-3.51, 3 Pm 3.61-3.64
Pm4 0.3037 0.3037 0.0000  4 Pd 3.00
Pm5 0.3713 0.6287 0.0000  4 Pd 3.00
Pm6 0.4137 0.0712 0.0000  2 Pd 2.93, 2 Cd 3.27
Pm7 0.5863 0.9288 0.0000  2 Pd 2.93, 2 Cd 3.27
Pm8 0.6287 0.3713 0.0000  4 Pd 3.00
Pm9 0.6963 0.6963 0.0000  4 Pd 3.00
Pm10 0.8371 0.1629 0.0000  8 Cd 3.31-3.51, 3 Pm 3.61-3.64
Pm11 0.9288 0.5863 0.0000  2 Pd 2.93, 2 Cd 3.27
Cd1 0.0723 0.2154 0.5000  1 Pd 3.12, 1 Cd 3.20, 6 Pm 3.27-3.43
Cd2 0.1592 0.6333 0.5000  1 Cd 3.09, 1 Pd 3.14, 6 Pm 3.31-3.43
Cd3 0.2154 0.0723 0.5000  1 Pd 3.12, 1 Cd 3.20, 6 Pm 3.27-3.43
Cd4 0.3667 0.8408 0.5000  1 Cd 3.09, 1 Pd 3.14, 6 Pm 3.31-3.43
Cd5 0.5000 0.5000 0.5000  4 Pd 3.17, 8 Pm 3.44-3.48
Cd6 0.6333 0.1592 0.5000  1 Cd 3.09, 1 Pd 3.14, 6 Pm 3.31-3.43
Cd7 0.7846 0.9277 0.5000  1 Pd 3.12, 1 Cd 3.20, 6 Pm 3.27-3.43
Cd8 0.8408 0.3667 0.5000  1 Cd 3.09, 1 Pd 3.14, 6 Pm 3.31-3.43
Cd9 0.9277 0.7846 0.5000  1 Pd 3.12, 1 Cd 3.20, 6 Pm 3.27-3.43
Pd1 0.2491 0.4493 0.5000  6 Pm 2.93-3.00, 3 Cd 3.12-3.17
Pd2 0.4493 0.2491 0.5000  6 Pm 2.93-3.00, 3 Cd 3.12-3.17
Pd3 0.5507 0.7509 0.5000  6 Pm 2.93-3.00, 3 Cd 3.12-3.17
Pd4 0.7509 0.5507 0.5000  6 Pm 2.93-3.00, 3 Cd 3.12-3.17

Calculated values
**E_form**: -1199 kJ/mol of formula units
**Symmetry**: Cmmm